Compound: Ba2Tl2Co
Source: the Alexandria database
Functional: GGA-PBE
Structure: optimized geometry

Computed properties:
**DFT total energy**: -2.9590 eV per atom
**ΔE_f**: 177.7 meV/atom
**Density of states at the Fermi level**: 21.35 states/eV per cell
**Volume**: 327.1 Å³/cell
**Offset from the most stable computed form**: 0 meV/atom

abc: 7.6091 7.6091 5.6502
angles: 90.00 90.00 90.00
Closest atoms and distances in Å follow each position.
Space group P4/mbm (No. 127)
Symmetry-distinct sites (fractional):
Ba 0.1669 0.3331 0.0000  6 Tl 3.41-3.74, 1 Ba 3.59
Tl 0.1550 0.6550 0.5000  2 Co 2.88
Co 0.0000 0.0000 0.5000  4 Tl 2.88